# 1
Computed, not measured: an optimized crystal structure of Er4Co3Cu at the PBE level of DFT.

extended XYZ file:
```
8
Lattice="3.9269 0.0000 0.0000 0.0000 3.9600 0.0000 0.0000 0.0000 10.1990" Properties=species:S:1:pos:R:3 pbc="T T T"
Er 0.0000 0.0000 0.0000
Er 0.0000 1.9800 2.8719
Er 1.9635 0.0000 5.0032
Er 1.9635 1.9800 7.9470
Co 0.0000 1.9800 5.7857
Co 1.9635 0.0000 1.9816
Co 1.9635 1.9800 0.8025
Cu 0.0000 0.0000 7.2024
```

Crystal system: orthorhombic
E_form: -0.23 eV per atom
Symmetry: No. 25

# 2
Computed, not measured: an optimized crystal structure of Li4AgPd3 at the PBE level of DFT.

extended XYZ file:
```
8
Lattice="3.0620 0.0000 0.0000 0.0000 4.2547 0.0000 0.0000 0.0000 8.5002" Properties=species:S:1:pos:R:3 pbc="T T T"
Li 0.0000 0.0000 0.0000
Li 0.0000 0.0000 4.2501
Li 0.0000 2.1273 2.0332
Li 0.0000 2.1273 6.4671
Ag 1.5310 2.1273 4.2501
Pd 1.5310 0.0000 2.1344
Pd 1.5310 0.0000 6.3658
Pd 1.5310 2.1273 0.0000
```

Crystal system: orthorhombic
E_form: -0.38 eV per atom
Symmetry: No. 47
Relative energy among the computed polymorphs: 0.0 meV per atom

# 3
Computed, not measured: an optimized crystal structure of YZn2As2 at the PBE level of DFT.

extended XYZ file:
```
5
Lattice="-1.9304 1.9304 6.6144 1.9304 -1.9304 6.6144 1.9304 1.9304 -6.6144" Properties=species:S:1:pos:R:3 pbc="T T T"
Y 0.0000 0.0000 0.0000
Zn 1.9304 0.0000 3.3072
Zn 0.0000 1.9304 3.3072
As 0.0000 0.0000 5.1137
As 0.0000 0.0000 8.1150
```

Crystal system: tetragonal
E_form: -0.46 eV per atom
Symmetry: No. 139

# 4
Computed, not measured: an optimized crystal structure of CaAcPmSn at the PBE level of DFT.

extended XYZ file:
```
4
Lattice="0.0000 4.0623 4.0623 4.0623 0.0000 4.0623 4.0623 4.0623 0.0000" Properties=species:S:1:pos:R:3 pbc="T T T"
Ca 0.0000 0.0000 0.0000
Ac 6.0935 6.0935 6.0935
Pm 2.0312 2.0312 2.0312
Sn 4.0623 4.0623 4.0623
```

Crystal system: cubic
E_form: -0.23 eV per atom
Symmetry: No. 216

# 5
Computed, not measured: an optimized crystal structure of MnNi2Cl at the PBE level of DFT.

extended XYZ file:
```
4
Lattice="1.5037 0.8681 7.2070 -1.5037 0.8681 7.2070 0.0000 -1.7363 7.2070" Properties=species:S:1:pos:R:3 pbc="T T T"
Mn 0.0000 0.0000 0.0000
Ni 0.0000 0.0000 5.4816
Ni 0.0000 0.0000 10.9846
Cl 0.0000 0.0000 16.2796
```

Crystal system: trigonal
Symmetry: No. 160
E_form (uncorrected): 0.235 eV/atom
Relative energy among the computed polymorphs: 160.4 meV per atom

# 6
Computed, not measured: an optimized crystal structure of NdTh4 at the PBE level of DFT.

extended XYZ file:
```
5
Lattice="5.7356 0.0000 0.0000 0.0000 5.7356 0.0000 0.0000 0.0000 5.7356" Properties=species:S:1:pos:R:3 pbc="T T T"
Nd 0.0000 0.0000 0.0000
Th 0.0000 0.0000 2.8678
Th 0.0000 2.8678 0.0000
Th 2.8678 0.0000 0.0000
Th 2.8678 2.8678 2.8678
```

Crystal system: cubic
E_form: 0.98 eV per atom
Symmetry: No. 221

# 7
Computed, not measured: an optimized crystal structure of Dy4Al2Hg5 at the PBE level of DFT.

extended XYZ file:
```
11
Lattice="7.8639 0.0000 0.0000 0.0000 3.6721 0.0000 -0.4200 0.0000 9.3791" Properties=species:S:1:pos:R:3 pbc="T T T"
Dy 1.5706 0.0000 1.2961
Dy 1.7428 0.0000 5.6953
Dy 5.7012 0.0000 3.6837
Dy 5.8734 0.0000 8.0829
Al 0.3682 1.8361 3.5430
Al 7.0758 1.8361 5.8360
Hg 0.6778 1.8361 8.1570
Hg 3.1338 1.8361 3.2861
Hg 3.9320 1.8361 0.0000
Hg 4.3102 1.8361 6.0930
Hg 6.7662 1.8361 1.2220
```

Crystal system: monoclinic
E_form: -0.39 eV per atom
Symmetry: No. 10

# 8
Computed, not measured: an optimized crystal structure of CaAuBr2 at the PBE level of DFT.

extended XYZ file:
```
4
Lattice="3.5054 0.0000 0.0000 0.0000 3.5054 0.0000 0.0000 0.0000 10.4610" Properties=species:S:1:pos:R:3 pbc="T T T"
Ca 0.0000 0.0000 0.0000
Au 0.0000 0.0000 5.2305
Br 1.7527 1.7527 1.7178
Br 1.7527 1.7527 8.7432
```

Crystal system: tetragonal
Symmetry: No. 123
E_form (uncorrected): -0.862 eV/atom
Relative energy among the computed polymorphs: 133.6 meV per atom